Below is a crystal of Ta3AlH relaxed with PBEsol, with properties calculated at the meta-GGA SCAN level.

Cell and atoms, written as extended XYZ:
```
5
Lattice="4.127 0.000 0.000 0.000 4.127 0.000 0.000 0.000 4.127" Properties=species:S:1:pos:R:3 pbc="T T T"
Ta 0.000 0.000 2.064
Ta 0.000 2.064 0.000
Ta 2.064 0.000 0.000
Al 2.064 2.064 2.064
H 0.000 0.000 0.000
```

Summary:
The value obtained for the total moment is 0.0 μB/f.u. The value obtained for the total energy is -42.3211 eV per atom.

=====

Below is a crystal of AlTeH2 relaxed with PBEsol, with properties calculated at the meta-GGA SCAN level.

Cell and atoms, written as extended XYZ:
```
16
Lattice="5.406 0.000 0.000 0.000 5.406 0.000 0.000 0.000 7.567" Properties=species:S:1:pos:R:3 pbc="T T T"
Al 0.000 0.000 0.000
Al 0.000 2.703 1.892
Al 2.703 0.000 5.675
Al 2.703 2.703 3.784
Te 0.000 0.000 3.784
Te 0.000 2.703 5.675
Te 2.703 0.000 1.892
Te 2.703 2.703 0.000
H 0.287 1.351 0.946
H 1.351 2.990 2.838
H 1.351 5.119 6.621
H 2.416 1.351 4.729
H 2.990 4.054 4.729
H 4.054 0.287 6.621
H 4.054 2.416 2.838
H 5.119 4.054 0.946
```

Summary:
The value obtained for the total moment is 0.0 μB/f.u. The value obtained for the total energy is -12.7553 eV per atom.

=====

Below is a crystal of Zr2TiAlH relaxed with PBEsol, with properties calculated at the meta-GGA SCAN level.

Cell and atoms, written as extended XYZ:
```
5
Lattice="5.216 0.000 0.000 0.000 5.216 0.000 0.000 0.000 3.207" Properties=species:S:1:pos:R:3 pbc="T T T"
Zr 0.000 2.608 0.000
Zr 2.608 0.000 0.000
Ti 0.000 0.000 0.000
Al 2.608 2.608 1.604
H 0.000 0.000 1.604
```

Summary:
The value obtained for the total moment is 0.0 μB/f.u. The value obtained for the total energy is -17.2635 eV per atom.

=====

Below is a crystal of AlTlH2 relaxed with PBEsol, with properties calculated at the meta-GGA SCAN level.

Cell and atoms, written as extended XYZ:
```
16
Lattice="5.947 0.000 0.000 0.000 5.947 0.000 0.000 0.000 5.947" Properties=species:S:1:pos:R:3 pbc="T T T"
Al 0.000 0.000 0.000
Al 0.000 2.973 2.973
Al 2.973 0.000 2.973
Al 2.973 2.973 0.000
Tl 0.000 0.000 2.973
Tl 0.000 2.973 0.000
Tl 2.973 0.000 0.000
Tl 2.973 2.973 2.973
H 1.487 1.487 1.487
H 1.487 1.487 4.460
H 1.487 4.460 1.487
H 1.487 4.460 4.460
H 4.460 1.487 1.487
H 4.460 1.487 4.460
H 4.460 4.460 1.487
H 4.460 4.460 4.460
```

Summary:
The value obtained for the total moment is 0.0 μB/f.u. The value obtained for the total energy is -20.9851 eV per atom.

=====

Below is a crystal of Al2TlH relaxed with PBEsol, with properties calculated at the meta-GGA SCAN level.

Cell and atoms, written as extended XYZ:
```
16
Lattice="6.419 0.000 0.000 0.000 6.419 0.000 0.000 0.000 6.419" Properties=species:S:1:pos:R:3 pbc="T T T"
Al 1.605 1.605 1.605
Al 1.605 1.605 4.815
Al 1.605 4.815 1.605
Al 1.605 4.815 4.815
Al 4.815 1.605 1.605
Al 4.815 1.605 4.815
Al 4.815 4.815 1.605
Al 4.815 4.815 4.815
Tl 0.000 0.000 0.000
Tl 0.000 3.210 3.210
Tl 3.210 0.000 3.210
Tl 3.210 3.210 0.000
H 0.000 0.000 3.210
H 0.000 3.210 0.000
H 3.210 0.000 0.000
H 3.210 3.210 3.210
```

Summary:
The value obtained for the total moment is 0.0 μB/f.u. The value obtained for the total energy is -22.2564 eV per atom.

=====

Below is a crystal of YAlH2 relaxed with PBEsol, with properties calculated at the meta-GGA SCAN level.

Cell and atoms, written as extended XYZ:
```
16
Lattice="4.464 0.000 0.000 0.000 4.464 0.000 0.000 0.000 10.252" Properties=species:S:1:pos:R:3 pbc="T T T"
Y 0.000 0.000 0.000
Y 0.000 2.232 2.563
Y 2.232 0.000 7.689
Y 2.232 2.232 5.126
Al 0.000 0.000 5.126
Al 0.000 2.232 7.689
Al 2.232 0.000 2.563
Al 2.232 2.232 0.000
H 0.935 1.116 6.407
H 1.116 3.167 8.970
H 1.116 3.530 3.844
H 1.298 1.116 1.281
H 3.167 3.348 1.281
H 3.348 0.935 3.844
H 3.348 1.298 8.970
H 3.530 3.348 6.407
```

Summary:
The value obtained for the total moment is 0.0 μB/f.u. The value obtained for the total energy is -10.8133 eV per atom.

=====

Below is a crystal of Y2Al2H relaxed with PBEsol, with properties calculated at the meta-GGA SCAN level.

Cell and atoms, written as extended XYZ:
```
10
Lattice="6.495 0.000 0.000 0.000 6.495 0.000 0.000 0.000 4.965" Properties=species:S:1:pos:R:3 pbc="T T T"
Y 1.091 2.157 0.000
Y 2.157 5.404 0.000
Y 4.338 1.091 0.000
Y 5.404 4.338 0.000
Al 0.928 4.176 2.482
Al 2.319 0.928 2.482
Al 4.176 5.567 2.482
Al 5.567 2.319 2.482
H 0.000 0.000 0.000
H 3.248 3.248 0.000
```

Summary:
The value obtained for the total moment is 0.0 μB/f.u. The value obtained for the total energy is -15.1504 eV per atom.

=====

Below is a crystal of Zr2Al2H relaxed with PBEsol, with properties calculated at the meta-GGA SCAN level.

Cell and atoms, written as extended XYZ:
```
10
Lattice="5.874 0.000 0.000 0.000 5.874 0.000 0.000 0.000 4.885" Properties=species:S:1:pos:R:3 pbc="T T T"
Zr 0.972 1.965 0.000
Zr 1.965 4.902 0.000
Zr 3.909 0.972 0.000
Zr 4.902 3.909 0.000
Al 0.928 3.865 2.443
Al 2.009 0.928 2.443
Al 3.865 4.947 2.443
Al 4.947 2.009 2.443
H 0.000 0.000 0.000
H 2.937 2.937 0.000
```

Summary:
The value obtained for the total moment is 0.1 μB/f.u. The value obtained for the total energy is -16.2677 eV per atom.